No. 1
VASP calculation (PBE) on a relaxed structure of Ca2CrI.

Values from the calculation:
Density of states at the Fermi level ... 3.42 states/eV/f.u.
Crystal system ... cubic
Energy above the lowest structure with this stoichiometry ... 0.006 eV per atom

CIF file:
```
data_Ca2CrI
_chemical_formula_sum 'Ca8 Cr4 I4'
_space_group_name_H-M_alt 'F m -3 m'
_space_group_IT_number 225
_space_group_name_Hall '-F 4 2 3'
_cell_length_a 7.936
_cell_length_b 7.936
_cell_length_c 7.936
_cell_angle_alpha 90.00
_cell_angle_beta 90.00
_cell_angle_gamma 90.00
loop_
_atom_site_label
_atom_site_type_symbol
_atom_site_fract_x
_atom_site_fract_y
_atom_site_fract_z
Ca1 Ca 0.250 0.250 0.250
Cr1 Cr 0.000 0.000 0.000
I1 I 0.000 0.000 0.500
```

***

No. 2
VASP calculation (PBE) on a relaxed structure of Ca2CrI2.

Values from the calculation:
Density of states at the Fermi level ... 3.59 states/eV/f.u.
Crystal system ... tetragonal
Energy above the lowest structure with this stoichiometry ... 0.000 eV per atom

CIF file:
```
data_Ca2CrI2
_chemical_formula_sum 'Ca4 Cr2 I4'
_space_group_name_H-M_alt 'P 4/m b m'
_space_group_IT_number 127
_space_group_name_Hall '-P 4 2ab'
_cell_length_a 8.941
_cell_length_b 8.941
_cell_length_c 3.874
_cell_angle_alpha 90.00
_cell_angle_beta 90.00
_cell_angle_gamma 90.00
loop_
_atom_site_label
_atom_site_type_symbol
_atom_site_fract_x
_atom_site_fract_y
_atom_site_fract_z
Ca1 Ca 0.163 0.337 0.000
Cr1 Cr 0.000 0.000 0.500
I1 I 0.139 0.639 0.500
```

***

No. 3
VASP calculation (PBE) on a relaxed structure of CaCr3I.

Values from the calculation:
Density of states at the Fermi level ... 8.12 states/eV/f.u.
Crystal system ... cubic

CIF file:
```
data_CaCr3I
_chemical_formula_sum 'Ca1 Cr3 I1'
_space_group_name_H-M_alt 'P m -3 m'
_space_group_IT_number 221
_space_group_name_Hall '-P 4 2 3'
_cell_length_a 5.137
_cell_length_b 5.137
_cell_length_c 5.137
_cell_angle_alpha 90.00
_cell_angle_beta 90.00
_cell_angle_gamma 90.00
loop_
_atom_site_label
_atom_site_type_symbol
_atom_site_fract_x
_atom_site_fract_y
_atom_site_fract_z
Ca1 Ca 0.000 0.000 0.000
Cr1 Cr 0.000 0.500 0.500
I1 I 0.500 0.500 0.500
```

***

No. 4
VASP calculation (PBE) on a relaxed structure of Ca2CrI2.

Values from the calculation:
Density of states at the Fermi level ... 4.56 states/eV/f.u.
Crystal system ... tetragonal
Energy above the lowest structure with this stoichiometry ... 0.081 eV per atom

CIF file:
```
data_Ca2CrI2
_chemical_formula_sum 'Ca4 Cr2 I4'
_space_group_name_H-M_alt 'I 4/m m m'
_space_group_IT_number 139
_space_group_name_Hall '-I 4 2'
_cell_length_a 6.349
_cell_length_b 6.349
_cell_length_c 8.764
_cell_angle_alpha 90.00
_cell_angle_beta 90.00
_cell_angle_gamma 90.00
loop_
_atom_site_label
_atom_site_type_symbol
_atom_site_fract_x
_atom_site_fract_y
_atom_site_fract_z
Ca1 Ca 0.000 0.500 0.250
Cr1 Cr 0.000 0.000 0.000
I1 I 0.000 0.000 0.299
```

***

How do the records compare in uncorrected formation energy? In the order shown, they have 0.128; -0.237; 1.262; -0.156 eV/atom.